No. 1
# LiTbNdTl

A geometry-optimized LiTbNdTl structure (PBE, Alexandria).

formation enthalpy at 0 K	-0.197	eV per atom
N(E_F)	1.10	states/eV per atom
space group	F-43m (216)
magnetic moment	0.00	Bohr magnetons per cell

abc: 5.3841 5.3841 5.3841
angles: 60.00 60.00 60.00
With the nearest neighbours (Å) after each atom.
Fractional positions:
Li: 0.0000 0.0000 0.0000  4 Nd 3.30, 4 Tb 3.30
Nd: 0.7500 0.7500 0.7500  4 Tl 3.30, 4 Li 3.30
Tl: 0.5000 0.5000 0.5000  4 Tb 3.30, 4 Nd 3.30
Tb: 0.2500 0.2500 0.2500  4 Tl 3.30, 4 Li 3.30

No. 2
# ScTcS2

A geometry-optimized ScTcS2 structure (PBE, Alexandria).

N(E_F)	0.71	states/eV per atom
space group	I-42d (122)
magnetic moment	0.00	Bohr magnetons per cell
relative energy among the computed polymorphs	0.00	eV per formula unit
ΔE_f (raw)	-769	meV per atom

abc: 5.1297 5.1297 7.1730
angles: 69.05 69.05 90.00
With the nearest neighbours (Å) after each atom.
Fractional positions:
S: 0.6604 0.1250 0.2500  2 Tc 2.29, 2 Sc 2.49
S: 0.8750 0.9104 0.7500  2 Tc 2.29, 2 Sc 2.49
Tc: 0.7500 0.2500 0.5000  4 S 2.29
Sc: 0.2500 0.7500 0.5000  4 S 2.49
S: 0.3750 0.3396 0.7500  2 Tc 2.29, 2 Sc 2.49
Sc: 0.5000 0.5000 0.0000  4 S 2.49
Tc: 0.0000 0.0000 0.0000  4 S 2.29
S: 0.0896 0.6250 0.2500  2 Tc 2.29, 2 Sc 2.49

No. 3
# AcIN

A geometry-optimized AcIN structure (PBE, Alexandria).

space group	C2/m (12)
magnetic moment	0.00	Bohr magnetons per cell
relative energy among the computed polymorphs	0.00	eV per formula unit
ΔE_f (raw)	-1249	meV per atom

abc: 4.1023 4.4694 11.9474
angles: 101.65 90.00 117.32
With the nearest neighbours (Å) after each atom.
Fractional positions:
Ac: 0.6000 0.2000 0.8806  3 N 2.46-2.68
N: 0.0911 0.1822 0.0236  1 N 1.43
Ac: 0.4000 0.8000 0.1194  3 N 2.46-2.68
I: 0.2067 0.4133 0.6842  3 Ac 3.37-3.45
I: 0.7933 0.5867 0.3158  3 Ac 3.37-3.45
N: 0.9089 0.8178 0.9764  1 N 1.43

No. 4
# Ba2CuBrN

A geometry-optimized Ba2CuBrN structure (PBE, Alexandria).

N(E_F)	0.51	states/eV per atom
space group	P4/mmm (123)
magnetic moment	0.01	Bohr magnetons per cell
ΔE_f (raw)	-754	meV per atom

abc: 5.8135 5.8135 3.7966
angles: 90.00 90.00 90.00
With the nearest neighbours (Å) after each atom.
Fractional positions:
Ba: 0.0000 0.5000 0.0000  2 N 2.91
N: 0.0000 0.0000 0.0000  2 Cu 1.90
Cu: 0.0000 0.0000 0.5000  2 N 1.90
Br: 0.5000 0.5000 0.5000  8 Ba 3.47, 2 Br 3.80
Ba: 0.5000 0.0000 0.0000  2 N 2.91

No. 5
# Zr3PaBi6

A geometry-optimized Zr3PaBi6 structure (PBE, Alexandria).

formation enthalpy at 0 K	-0.160	eV per atom
N(E_F)	0.83	states/eV per atom
space group	P2_1/m (11)
magnetic moment	0.00	Bohr magnetons per cell

abc: 3.9674 11.1321 13.0338
angles: 100.01 90.00 90.00
With the nearest neighbours (Å) after each atom.
Fractional positions:
Bi: 0.7500 0.1228 0.4504  2 Zr 3.06, 2 Pa 3.22
Bi: 0.2500 0.2261 0.6705  3 Zr 3.10-3.11, 2 Pa 3.27, 3 Bi 3.31-3.36
Zr: 0.7500 0.1119 0.0742  5 Bi 3.01-3.05
Pa: 0.7500 0.0140 0.7271  7 Bi 3.13-3.30
Zr: 0.7500 0.6655 0.5330  7 Bi 2.94-3.16
Zr: 0.2500 0.8881 0.9258  5 Bi 3.01-3.05
Bi: 0.2500 0.1575 0.9113  5 Zr 3.01-3.09, 2 Pa 3.30, 1 Bi 3.36
Bi: 0.2500 0.5586 0.9172  3 Zr 3.12-3.15, 2 Bi 3.36
Zr: 0.2500 0.6587 0.1563  8 Bi 3.09-3.15
Bi: 0.7500 0.7739 0.3295  3 Zr 3.10-3.11, 2 Pa 3.27, 3 Bi 3.31-3.36
Bi: 0.2500 0.2527 0.2273  3 Zr 3.05-3.10, 1 Pa 3.13, 1 Bi 3.38
Pa: 0.2500 0.9860 0.2729  7 Bi 3.13-3.30
Bi: 0.7500 0.8425 0.0887  5 Zr 3.01-3.09, 2 Pa 3.30, 1 Bi 3.36
Zr: 0.7500 0.3413 0.8437  8 Bi 3.09-3.15
Bi: 0.7500 0.4566 0.6435  4 Zr 2.94-3.16
Bi: 0.2500 0.5434 0.3565  4 Zr 2.94-3.16
Bi: 0.7500 0.7473 0.7727  3 Zr 3.05-3.10, 1 Pa 3.13, 1 Bi 3.38
Bi: 0.2500 0.8772 0.5496  2 Zr 3.06, 2 Pa 3.22
Zr: 0.2500 0.3345 0.4670  7 Bi 2.94-3.16
Bi: 0.7500 0.4414 0.0828  3 Zr 3.12-3.15, 2 Bi 3.36

No. 6
# KAg3Pt

A geometry-optimized KAg3Pt structure (PBE, Alexandria).

formation enthalpy at 0 K	1.528	eV per atom
N(E_F)	0.37	states/eV per atom
space group	Pm-3m (221)
magnetic moment	0.00	Bohr magnetons per cell
relative energy among the computed polymorphs	7.56	eV per formula unit

abc: 5.1331 5.1331 5.1331
angles: 90.00 90.00 90.00
With the nearest neighbours (Å) after each atom.
Fractional positions:
Pt: 0.5000 0.5000 0.5000  12 Ag 3.63
Ag: 0.5000 0.0000 0.0000  2 K 2.57
Ag: 0.0000 0.0000 0.5000  2 K 2.57
Ag: 0.0000 0.5000 0.0000  2 K 2.57
K: 0.0000 0.0000 0.0000  6 Ag 2.57